DFT (PBE-GGA) results for a relaxed LaTmMg4 crystal.

a b c (Å): 6.097 6.097 6.097
angles (deg): 60.00 60.00 60.00
Atoms (fractional coordinates):
Mg (0.625, 0.625, 0.124)
Mg (0.625, 0.124, 0.625)
Mg (0.625, 0.625, 0.625)
Mg (0.124, 0.625, 0.625)
Tm (0.000, 0.000, 0.000)
La (0.250, 0.250, 0.250)

Summary:
The calculation puts the total energy at -2.7140 eV/atom. The calculation puts the formation energy at -84 meV per atom.



DFT (PBE-GGA) results for a relaxed La2Tm8Mg crystal.

a b c (Å): 5.391 6.827 9.695
angles (deg): 94.46 106.14 90.00
Atoms (fractional coordinates):
La (0.781, 0.332, 0.563)
La (0.219, 0.668, 0.437)
Tm (0.411, 0.573, 0.821)
Tm (0.658, 0.913, 0.316)
Tm (0.845, 0.826, 0.690)
Tm (0.966, 0.249, 0.931)
Tm (0.155, 0.174, 0.310)
Tm (0.342, 0.087, 0.684)
Tm (0.589, 0.427, 0.179)
Tm (0.034, 0.751, 0.069)
Mg (0.500, 0.000, 0.000)

Summary:
The calculation puts the total energy at -4.2357 eV/atom. The calculation puts the formation energy at 57 meV per atom.



DFT (PBE-GGA) results for a relaxed LaTm2Mg crystal.

a b c (Å): 5.545 5.545 5.545
angles (deg): 60.00 60.00 60.00
Each line ends with the local moment (μB).
Atoms (fractional coordinates):
Mg (0.000, 0.000, 0.000)  0.00
Tm (0.250, 0.250, 0.250)  0.16
Tm (0.750, 0.750, 0.750)  0.16
La (0.500, 0.500, 0.500)  0.16

Summary:
The calculation puts the total energy at -3.7320 eV/atom. The calculation puts the formation energy at 134 meV per atom.



DFT (PBE-GGA) results for a relaxed La2Tm2Mg crystal.

a b c (Å): 3.602 7.227 13.548
angles (deg): 113.61 97.64 90.00
Atoms (fractional coordinates):
La (0.404, 0.855, 0.807)
La (0.404, 0.355, 0.807)
La (0.596, 0.145, 0.193)
La (0.596, 0.645, 0.193)
Tm (0.201, 0.552, 0.403)
Tm (0.799, 0.948, 0.597)
Tm (0.799, 0.448, 0.597)
Tm (0.201, 0.052, 0.403)
Mg (0.000, 0.250, 0.000)
Mg (0.000, 0.750, 0.000)

Summary:
The calculation puts the total energy at -4.0873 eV/atom. The calculation puts the formation energy at -9 meV per atom.



- Look up the total energy of the fourth one.
  -4.0873 eV/atom



- The highest formation energy belongs to which entry?
  LaTm2Mg



- Among the records above, which one has the lowest total energy?
  La2Tm8Mg



- Number 2 is which compound?
  La2Tm8Mg